1.
Below is an optimized crystal structure of AlPbN2O, with properties calculated at the PBE level.

Computed properties:
ΔE_f (raw) = 1.40 eV/atom

Unit cell a=4.299 b=4.299 c=4.190 alpha=90.00 beta=90.00 gamma=90.00
Positions (direct):
Al: 0.000 0.000 0.000
Pb: 0.500 0.500 0.500
N: 0.000 0.500 0.500
N: 0.500 0.000 0.500
O: 0.500 0.500 0.000



2.
Below is an optimized crystal structure of LaTb4Tm15, with properties calculated at the PBE level.

Computed properties:
DFT formation energy = 0.03 eV per atom

Unit cell a=4.973 b=4.973 c=24.847 alpha=90.00 beta=90.00 gamma=90.00
Positions (direct):
La: 0.000 0.000 0.000
Tb: 0.000 0.000 0.201
Tb: 0.000 0.000 0.401
Tb: 0.000 0.000 0.599
Tb: 0.000 0.000 0.799
Tm: 0.000 0.500 0.103
Tm: 0.000 0.500 0.301
Tm: 0.000 0.500 0.500
Tm: 0.000 0.500 0.699
Tm: 0.000 0.500 0.897
Tm: 0.500 0.000 0.103
Tm: 0.500 0.000 0.301
Tm: 0.500 0.000 0.500
Tm: 0.500 0.000 0.699
Tm: 0.500 0.000 0.897
Tm: 0.500 0.500 0.000
Tm: 0.500 0.500 0.202
Tm: 0.500 0.500 0.401
Tm: 0.500 0.500 0.599
Tm: 0.500 0.500 0.798



3.
Below is an optimized crystal structure of ZrBeBr, with properties calculated at the PBE level.

Computed properties:
ΔE_f (raw) = 0.03 eV/atom
energy above the most stable polymorph in this dataset = 2.56 eV/f.u.

Unit cell a=7.246 b=7.246 c=7.246 alpha=154.38 beta=154.38 gamma=36.54
Positions (direct):
Zr: 0.000 0.000 0.000
Be: 0.391 0.391 0.000
Br: 0.634 0.634 0.000



Raw total energy (eV/atom)
-4.410 -4.498 -4.619
Spin magnetization (μB per cell)
1.21 0.00 0.00